# 1
Entry from Alexandria via LeMat-Bulk: Na2YGaS4 after structural relaxation (PBE).

a b c (Å): 7.8219 7.8219 7.8219
angles (deg): 122.23 118.59 89.32
Positions (direct):
Na (0.0000, 0.0000, 0.0000)
Na (0.5000, 0.0000, 0.0000)
Na (0.5000, 0.0000, 0.5000)
Na (0.5000, 0.5000, 0.5000)
Y (0.0000, 0.5000, 0.5000)
Y (0.5000, 0.5000, 0.0000)
Ga (0.0000, 0.0000, 0.5000)
Ga (0.0000, 0.5000, 0.0000)
S (0.2092, 0.7478, 0.4614)
S (0.2136, 0.2522, 0.9614)
S (0.2395, 0.2456, 0.5061)
S (0.2395, 0.7334, 0.9939)
S (0.7605, 0.2666, 0.0061)
S (0.7605, 0.7544, 0.4939)
S (0.7864, 0.7478, 0.0386)
S (0.7908, 0.2522, 0.5386)

Summary:
energy relative to the elements, uncorrected: -1.27 eV/atom
ρ: 3.29 g/cm3



# 2
Entry from Alexandria via LeMat-Bulk: NaZn2GaS4 after structural relaxation (PBE).

a b c (Å): 6.6542 6.6542 6.6542
angles (deg): 128.69 128.69 75.51
Positions (direct):
Na (0.0000, 0.0000, 0.0000)
Zn (0.2500, 0.7500, 0.5000)
Zn (0.7500, 0.2500, 0.5000)
Ga (0.5000, 0.5000, 0.0000)
S (0.1426, 0.1426, 0.5518)
S (0.4092, 0.8574, 0.0000)
S (0.5908, 0.5908, 0.4482)
S (0.8574, 0.4092, 0.0000)

Summary:
density of states at the Fermi level: 0.000 states/eV/f.u.
energy relative to the elements, uncorrected: -0.84 eV/atom
ρ: 3.34 g/cm3



# 3
Entry from Alexandria via LeMat-Bulk: Na2ZrGaS after structural relaxation (PBE).

a b c (Å): 5.3186 5.3186 4.9311
angles (deg): 90.00 90.00 90.00
Positions (direct):
Na (0.0000, 0.5000, 0.0000)
Na (0.5000, 0.0000, 0.0000)
Zr (0.0000, 0.0000, 0.5000)
Ga (0.5000, 0.5000, 0.0000)
S (0.5000, 0.5000, 0.5000)

Summary:
density of states at the Fermi level: 5.080 states/eV/f.u.
energy relative to the elements, uncorrected: 0.70 eV/atom
ρ: 2.85 g/cm3



# 4
Entry from Alexandria via LeMat-Bulk: Na2ZrGaS4 after structural relaxation (PBE).

a b c (Å): 6.1632 6.1632 6.1632
angles (deg): 107.14 107.14 114.25
Positions (direct):
Na (0.0000, 0.5000, 0.5000)
Na (0.5000, 0.0000, 0.5000)
Zr (0.0000, 0.0000, 0.0000)
Ga (0.5000, 0.5000, 0.0000)
S (0.0866, 0.0866, 0.6584)
S (0.4282, 0.4282, 0.3416)
S (0.5718, 0.9134, 0.0000)
S (0.9134, 0.5718, 0.0000)

Summary:
density of states at the Fermi level: 2.566 states/eV/f.u.
energy relative to the elements, uncorrected: -1.02 eV/atom
ρ: 3.10 g/cm3



# 5
Entry from Alexandria via LeMat-Bulk: NaGaSb after structural relaxation (PBE).

a b c (Å): 8.8484 8.8484 8.8484
angles (deg): 157.44 143.30 43.51
Positions (direct):
Na (0.1625, 0.1625, 0.0000)
Na (0.8375, 0.8375, 0.0000)
Ga (0.2241, 0.5000, 0.7241)
Ga (0.7759, 0.5000, 0.2759)
Sb (0.3597, 0.3597, 0.0000)
Sb (0.6403, 0.6403, 0.0000)

Summary:
density of states at the Fermi level: 0.924 states/eV/f.u.
energy relative to the elements, uncorrected: -0.16 eV/atom
ρ: 4.50 g/cm3
offset from the most stable computed form: 3.1 kJ per mole of atoms



# 6
Entry from Alexandria via LeMat-Bulk: NaGaSb3 after structural relaxation (PBE).

a b c (Å): 5.4396 5.4396 5.4396
angles (deg): 90.00 90.00 90.00
Positions (direct):
Na (0.0000, 0.0000, 0.0000)
Ga (0.5000, 0.5000, 0.5000)
Sb (0.0000, 0.0000, 0.5000)
Sb (0.0000, 0.5000, 0.0000)
Sb (0.5000, 0.0000, 0.0000)

Summary:
density of states at the Fermi level: 3.621 states/eV/f.u.
energy relative to the elements, uncorrected: 0.73 eV/atom
ρ: 4.73 g/cm3
offset from the most stable computed form: 39.9 kJ per mole of atoms



# 7
Entry from Alexandria via LeMat-Bulk: NaGa2Sb after structural relaxation (PBE).

a b c (Å): 4.5123 4.5123 4.4564
angles (deg): 90.00 90.00 90.00
Positions (direct):
Na (0.0000, 0.0000, 0.0000)
Ga (0.0000, 0.5000, 0.5000)
Ga (0.5000, 0.0000, 0.5000)
Sb (0.5000, 0.5000, 0.0000)

Summary:
density of states at the Fermi level: 2.113 states/eV/f.u.
energy relative to the elements, uncorrected: -0.07 eV/atom
ρ: 5.20 g/cm3



# 8
Entry from Alexandria via LeMat-Bulk: NaGaSb after structural relaxation (PBE).

a b c (Å): 4.8755 4.8755 4.8755
angles (deg): 60.00 60.00 60.00
Positions (direct):
Na (0.0000, 0.0000, 0.0000)
Ga (0.2500, 0.2500, 0.2500)
Sb (0.5000, 0.5000, 0.5000)

Summary:
density of states at the Fermi level: 2.267 states/eV/f.u.
energy relative to the elements, uncorrected: -0.10 eV/atom
ρ: 4.35 g/cm3
offset from the most stable computed form: 8.5 kJ per mole of atoms



# 9
Entry from Alexandria via LeMat-Bulk: NaGa3Sb after structural relaxation (PBE).

a b c (Å): 5.4571 5.4571 5.4571
angles (deg): 90.00 90.00 90.00
Positions (direct):
Na (0.0000, 0.0000, 0.0000)
Ga (0.0000, 0.5000, 0.5000)
Ga (0.5000, 0.0000, 0.5000)
Ga (0.5000, 0.5000, 0.0000)
Sb (0.5000, 0.5000, 0.5000)

Summary:
density of states at the Fermi level: 2.466 states/eV/f.u.
energy relative to the elements, uncorrected: 0.38 eV/atom
ρ: 3.62 g/cm3
offset from the most stable computed form: 0.0 kJ per mole of atoms



# 10
Entry from Alexandria via LeMat-Bulk: Na2Ga3Sb3 after structural relaxation (PBE).

a b c (Å): 27.2194 4.3576 7.3340
angles (deg): 90.00 90.00 90.00
Positions (direct):
Na (0.0034, 0.2500, 0.2208)
Na (0.1834, 0.2500, 0.2508)
Na (0.3166, 0.7500, 0.7508)
Na (0.4966, 0.7500, 0.7208)
Na (0.5034, 0.2500, 0.2792)
Na (0.6834, 0.2500, 0.2492)
Na (0.8166, 0.7500, 0.7492)
Na (0.9966, 0.7500, 0.7792)
Ga (0.1185, 0.7500, 0.4523)
Ga (0.1225, 0.2500, 0.8977)
Ga (0.2074, 0.7500, 0.5709)
Ga (0.2926, 0.2500, 0.0709)
Ga (0.3775, 0.7500, 0.3977)
Ga (0.3815, 0.2500, 0.9523)
Ga (0.6185, 0.7500, 0.0477)
Ga (0.6225, 0.2500, 0.6023)
Ga (0.7074, 0.7500, 0.9291)
Ga (0.7926, 0.2500, 0.4291)
Ga (0.8775, 0.7500, 0.1023)
Ga (0.8815, 0.2500, 0.5477)
Sb (0.0721, 0.2500, 0.5866)
Sb (0.0927, 0.7500, 0.0904)
Sb (0.2198, 0.2500, 0.7946)
Sb (0.2802, 0.7500, 0.2946)
Sb (0.4073, 0.2500, 0.5904)
Sb (0.4279, 0.7500, 0.0866)
Sb (0.5721, 0.2500, 0.9134)
Sb (0.5927, 0.7500, 0.4096)
Sb (0.7198, 0.2500, 0.7054)
Sb (0.7802, 0.7500, 0.2054)
Sb (0.9073, 0.2500, 0.9096)
Sb (0.9279, 0.7500, 0.4134)

Summary:
energy relative to the elements, uncorrected: -0.27 eV/atom
ρ: 4.74 g/cm3



# 11
Entry from Alexandria via LeMat-Bulk: Na3Ga4Sb4 after structural relaxation (PBE).

a b c (Å): 12.5979 12.5979 12.5979
angles (deg): 156.88 156.09 33.51
Positions (direct):
Na (0.0000, 0.0000, 0.0000)
Na (0.3556, 0.8556, 0.5000)
Na (0.6444, 0.1444, 0.5000)
Ga (0.2011, 0.7011, 0.5000)
Ga (0.4475, 0.4475, 0.0000)
Ga (0.5525, 0.5525, 0.0000)
Ga (0.7989, 0.2989, 0.5000)
Sb (0.0901, 0.5901, 0.5000)
Sb (0.2527, 0.2527, 0.0000)
Sb (0.7473, 0.7473, 0.0000)
Sb (0.9099, 0.4099, 0.5000)

Summary:
density of states at the Fermi level: 3.871 states/eV/f.u.
energy relative to the elements, uncorrected: -0.11 eV/atom
ρ: 4.36 g/cm3



# 12
Entry from Alexandria via LeMat-Bulk: NaGaSb after structural relaxation (PBE).

a b c (Å): 9.1298 9.1298 4.2851
angles (deg): 90.00 90.00 152.22
Positions (direct):
Na (0.1864, 0.8136, 0.7500)
Na (0.8136, 0.1864, 0.2500)
Ga (0.0385, 0.9615, 0.2500)
Ga (0.9615, 0.0385, 0.7500)
Sb (0.3713, 0.6287, 0.7500)
Sb (0.6287, 0.3713, 0.2500)

Summary:
density of states at the Fermi level: 1.312 states/eV/f.u.
energy relative to the elements, uncorrected: -0.19 eV/atom
ρ: 4.28 g/cm3
offset from the most stable computed form: 0.0 kJ per mole of atoms